# PBE ZnSb2Pb, optimized geometry
# Formation energy without anion corrections, eV/f.u.: 0.89
# Raw total energy, eV per atom: -3.09
data_ZnSb2Pb
_chemical_formula_sum 'Zn4 Sb8 Pb4'
_space_group_name_H-M_alt 'F m -3 m'
_space_group_IT_number 225
_space_group_name_Hall '-F 4 2 3'
_cell_length_a 7.5212
_cell_length_b 7.5212
_cell_length_c 7.5212
_cell_angle_alpha 90.00
_cell_angle_beta 90.00
_cell_angle_gamma 90.00
loop_
_atom_site_label
_atom_site_type_symbol
_atom_site_fract_x
_atom_site_fract_y
_atom_site_fract_z
_atom_site_occupancy
Zn1 Zn 0.0000 0.0000 0.0000 1
Sb1 Sb 0.2500 0.2500 0.2500 1
Pb1 Pb 0.0000 0.0000 0.5000 1

***

# PBE CdWSe2N, optimized geometry
# E above lowest polymorph, kJ/mol of formula units: 0
# Formation energy without anion corrections, eV/f.u.: 0.44
# Raw total energy, eV per atom: -5.75
data_CdWSe2N
_chemical_formula_sum 'Cd1 W1 Se2 N1'
_space_group_name_H-M_alt 'P 4/m m m'
_space_group_IT_number 123
_space_group_name_Hall '-P 4 2'
_cell_length_a 5.1243
_cell_length_b 5.1243
_cell_length_c 3.8338
_cell_angle_alpha 90.00
_cell_angle_beta 90.00
_cell_angle_gamma 90.00
loop_
_atom_site_label
_atom_site_type_symbol
_atom_site_fract_x
_atom_site_fract_y
_atom_site_fract_z
_atom_site_occupancy
Cd1 Cd 0.0000 0.0000 0.0000 1
W1 W 0.5000 0.5000 0.5000 1
Se1 Se 0.0000 0.5000 0.5000 1
N1 N 0.5000 0.5000 0.0000 1

***

# PBE Zr3Al5H12, optimized geometry
# Raw total energy, eV per atom: -4.16
data_Zr3Al5H12
_chemical_formula_sum 'Zr24 Al40 H96'
_space_group_name_H-M_alt 'I a -3 d'
_space_group_IT_number 230
_space_group_name_Hall '-I 4bd 2c 3'
_cell_length_a 11.4232
_cell_length_b 11.4232
_cell_length_c 11.4232
_cell_angle_alpha 90.00
_cell_angle_beta 90.00
_cell_angle_gamma 90.00
loop_
_atom_site_label
_atom_site_type_symbol
_atom_site_fract_x
_atom_site_fract_y
_atom_site_fract_z
_atom_site_occupancy
Zr1 Zr 0.0000 0.2500 0.1250 1
Al1 Al 0.0000 0.0000 0.0000 1
Al2 Al 0.0000 0.2500 0.3750 1
H1 H 0.0121 0.0716 0.6495 1

***

# PBE Li2CrInN, optimized geometry
# Formation energy without anion corrections, eV/f.u.: -1.35
# Raw total energy, eV per atom: -5.17
data_Li2CrInN
_chemical_formula_sum 'Li2 Cr1 In1 N1'
_space_group_name_H-M_alt 'P 4/m m m'
_space_group_IT_number 123
_space_group_name_Hall '-P 4 2'
_cell_length_a 4.2909
_cell_length_b 4.2909
_cell_length_c 3.7279
_cell_angle_alpha 90.00
_cell_angle_beta 90.00
_cell_angle_gamma 90.00
loop_
_atom_site_label
_atom_site_type_symbol
_atom_site_fract_x
_atom_site_fract_y
_atom_site_fract_z
_atom_site_occupancy
Li1 Li 0.0000 0.5000 0.0000 1
Cr1 Cr 0.0000 0.0000 0.5000 1
In1 In 0.5000 0.5000 0.5000 1
N1 N 0.0000 0.0000 0.0000 1

***

# PBE MnAgW2, optimized geometry
# E above lowest polymorph, kJ/mol of formula units: 105
# Raw total energy, eV per atom: -8.88
data_MnAgW2
_chemical_formula_sum 'Mn4 Ag4 W8'
_space_group_name_H-M_alt 'F -4 3 m'
_space_group_IT_number 216
_space_group_name_Hall 'F -4 2 3'
_cell_length_a 6.3322
_cell_length_b 6.3322
_cell_length_c 6.3322
_cell_angle_alpha 90.00
_cell_angle_beta 90.00
_cell_angle_gamma 90.00
loop_
_atom_site_label
_atom_site_type_symbol
_atom_site_fract_x
_atom_site_fract_y
_atom_site_fract_z
_atom_site_occupancy
Mn1 Mn 0.0000 0.0000 0.0000 1
Ag1 Ag 0.2500 0.2500 0.7500 1
W1 W 0.0000 0.0000 0.5000 1
W2 W 0.2500 0.2500 0.2500 1

***

# PBE NbCuCl3, optimized geometry
# E above lowest polymorph, kJ/mol of formula units: 0
# Formation energy without anion corrections, eV/f.u.: -0.68
# Raw total energy, eV per atom: -4.08
data_NbCuCl3
_chemical_formula_sum 'Nb1 Cu1 Cl3'
_space_group_name_H-M_alt 'P m -3 m'
_space_group_IT_number 221
_space_group_name_Hall '-P 4 2 3'
_cell_length_a 4.8998
_cell_length_b 4.8998
_cell_length_c 4.8998
_cell_angle_alpha 90.00
_cell_angle_beta 90.00
_cell_angle_gamma 90.00
loop_
_atom_site_label
_atom_site_type_symbol
_atom_site_fract_x
_atom_site_fract_y
_atom_site_fract_z
_atom_site_occupancy
Nb1 Nb 0.0000 0.0000 0.0000 1
Cu1 Cu 0.5000 0.5000 0.5000 1
Cl1 Cl 0.0000 0.0000 0.5000 1

***

# PBE Y2ErPt2, optimized geometry
# Raw total energy, eV per atom: -6.99
data_Y2ErPt2
_chemical_formula_sum 'Y4 Er2 Pt4'
_space_group_name_H-M_alt 'P 4/m b m'
_space_group_IT_number 127
_space_group_name_Hall '-P 4 2ab'
_cell_length_a 7.6602
_cell_length_b 7.6602
_cell_length_c 4.0551
_cell_angle_alpha 90.00
_cell_angle_beta 90.00
_cell_angle_gamma 90.00
loop_
_atom_site_label
_atom_site_type_symbol
_atom_site_fract_x
_atom_site_fract_y
_atom_site_fract_z
_atom_site_occupancy
Y1 Y 0.1616 0.3384 0.0000 1
Er1 Er 0.0000 0.0000 0.5000 1
Pt1 Pt 0.1400 0.6400 0.5000 1

***

# PBE Na2ZnSi3Pt4, optimized geometry
# Formation energy without anion corrections, eV/f.u.: -6.08
# Raw total energy, eV per atom: -5.04
data_Na2ZnSi3Pt4
_chemical_formula_sum 'Na2 Zn1 Si3 Pt4'
_space_group_name_H-M_alt 'P -4 m 2'
_space_group_IT_number 115
_space_group_name_Hall 'P -4 -2'
_cell_length_a 4.2353
_cell_length_b 4.2353
_cell_length_c 9.8456
_cell_angle_alpha 90.00
_cell_angle_beta 90.00
_cell_angle_gamma 90.00
loop_
_atom_site_label
_atom_site_type_symbol
_atom_site_fract_x
_atom_site_fract_y
_atom_site_fract_z
_atom_site_occupancy
Na1 Na 0.0000 0.5000 0.2475 1
Zn1 Zn 0.5000 0.5000 0.0000 1
Si1 Si 0.0000 0.0000 0.0000 1
Si2 Si 0.0000 0.5000 0.6254 1
Pt1 Pt 0.0000 0.0000 0.5000 1
Pt2 Pt 0.0000 0.5000 0.8638 1
Pt3 Pt 0.5000 0.5000 0.5000 1

***

# PBE Si7Ni6, optimized geometry
# Formation energy without anion corrections, eV/f.u.: 0.32
# Raw total energy, eV per atom: -5.56
data_Si7Ni6
_chemical_formula_sum 'Si21 Ni18'
_space_group_name_H-M_alt 'R -3 m'
_space_group_IT_number 166
_space_group_name_Hall '-R 3 2"'
_cell_length_a 4.8891
_cell_length_b 4.8891
_cell_length_c 23.7385
_cell_angle_alpha 90.00
_cell_angle_beta 90.00
_cell_angle_gamma 120.00
loop_
_atom_site_label
_atom_site_type_symbol
_atom_site_fract_x
_atom_site_fract_y
_atom_site_fract_z
_atom_site_occupancy
Si1 Si 0.0000 0.0000 0.0000 1
Si2 Si 0.0037 0.5019 0.4189 1
Ni1 Ni 0.0000 0.0000 0.1653 1
Ni2 Ni 0.0000 0.0000 0.3268 1
Ni3 Ni 0.0000 0.0000 0.4401 1

***

# PBE Sm6AsP4, optimized geometry
# Raw total energy, eV per atom: -6.40
data_Sm6AsP4
_chemical_formula_sum 'Sm24 As4 P16'
_space_group_name_H-M_alt 'C m c m'
_space_group_IT_number 63
_space_group_name_Hall '-C 2c 2'
_cell_length_a 4.0965
_cell_length_b 13.5088
_cell_length_c 20.5141
_cell_angle_alpha 90.00
_cell_angle_beta 90.00
_cell_angle_gamma 90.00
loop_
_atom_site_label
_atom_site_type_symbol
_atom_site_fract_x
_atom_site_fract_y
_atom_site_fract_z
_atom_site_occupancy
Sm1 Sm 0.0000 0.0000 0.0000 1
Sm2 Sm 0.0000 0.1818 0.2500 1
Sm3 Sm 0.0000 0.2741 0.5820 1
Sm4 Sm 0.0000 0.4561 0.1621 1
As1 As 0.0000 0.1621 0.7500 1
P1 P 0.0000 0.0911 0.1279 1
P2 P 0.0000 0.3631 0.0428 1

***

# PBE Nb5TlS8, optimized geometry
# Formation energy without anion corrections, eV/f.u.: -14.06
# Raw total energy, eV per atom: -7.13
data_Nb5TlS8
_chemical_formula_sum 'Nb10 Tl2 S16'
_space_group_name_H-M_alt 'C 1 2/m 1'
_space_group_IT_number 12
_space_group_name_Hall '-C 2y'
_cell_length_a 17.8471
_cell_length_b 3.3431
_cell_length_c 9.3560
_cell_angle_alpha 90.00
_cell_angle_beta 105.45
_cell_angle_gamma 90.00
loop_
_atom_site_label
_atom_site_type_symbol
_atom_site_fract_x
_atom_site_fract_y
_atom_site_fract_z
_atom_site_occupancy
Nb1 Nb 0.0000 0.0000 0.0000 1
Nb2 Nb 0.1719 0.5000 0.9964 1
Nb3 Nb 0.2110 0.5000 0.3688 1
Tl1 Tl 0.0000 0.5000 0.5000 1
S1 S 0.0815 0.5000 0.1689 1
S2 S 0.0865 0.0000 0.8277 1
S3 S 0.1501 0.0000 0.4972 1
S4 S 0.2488 0.0000 0.1856 1

***

# PBE Cs3NaB, optimized geometry
# E above lowest polymorph, kJ/mol of formula units: 0
# Raw total energy, eV per atom: -1.37
data_Cs3NaB
_chemical_formula_sum 'Cs3 Na1 B1'
_space_group_name_H-M_alt 'P m -3 m'
_space_group_IT_number 221
_space_group_name_Hall '-P 4 2 3'
_cell_length_a 6.9225
_cell_length_b 6.9225
_cell_length_c 6.9225
_cell_angle_alpha 90.00
_cell_angle_beta 90.00
_cell_angle_gamma 90.00
loop_
_atom_site_label
_atom_site_type_symbol
_atom_site_fract_x
_atom_site_fract_y
_atom_site_fract_z
_atom_site_occupancy
Cs1 Cs 0.0000 0.0000 0.5000 1
Na1 Na 0.5000 0.5000 0.5000 1
B1 B 0.0000 0.0000 0.0000 1

***

# PBE Cs2Li2Cu, optimized geometry
# Raw total energy, eV per atom: -1.57
data_Cs2Li2Cu
_chemical_formula_sum 'Cs4 Li4 Cu2'
_space_group_name_H-M_alt 'P 4/m b m'
_space_group_IT_number 127
_space_group_name_Hall '-P 4 2ab'
_cell_length_a 7.8696
_cell_length_b 7.8696
_cell_length_c 6.3458
_cell_angle_alpha 90.00
_cell_angle_beta 90.00
_cell_angle_gamma 90.00
loop_
_atom_site_label
_atom_site_type_symbol
_atom_site_fract_x
_atom_site_fract_y
_atom_site_fract_z
_atom_site_occupancy
Cs1 Cs 0.1963 0.3037 0.0000 1
Li1 Li 0.1520 0.6520 0.5000 1
Cu1 Cu 0.0000 0.0000 0.5000 1

***

# PBE SbSeCl2, optimized geometry
# E above lowest polymorph, kJ/mol of formula units: 3
# Formation energy without anion corrections, eV/f.u.: -1.54
# Raw total energy, eV per atom: -3.21
data_SbSeCl2
_chemical_formula_sum 'Sb1 Se1 Cl2'
_space_group_name_H-M_alt 'P 1 m 1'
_space_group_IT_number 6
_space_group_name_Hall 'P -2y'
_cell_length_a 5.6460
_cell_length_b 3.9809
_cell_length_c 5.6557
_cell_angle_alpha 90.00
_cell_angle_beta 118.36
_cell_angle_gamma 90.00
loop_
_atom_site_label
_atom_site_type_symbol
_atom_site_fract_x
_atom_site_fract_y
_atom_site_fract_z
_atom_site_occupancy
Sb1 Sb 0.0000 0.0000 0.0000 1
Se1 Se 0.2019 0.5000 0.3789 1
Cl1 Cl 0.3861 0.0000 0.9242 1
Cl2 Cl 0.7497 0.5000 0.4882 1

***

# PBE Tb2PmSc3S6, optimized geometry
# Formation energy without anion corrections, eV/f.u.: -23.15
# Raw total energy, eV per atom: -6.74
data_Tb2PmSc3S6
_chemical_formula_sum 'Tb4 Pm2 Sc6 S12'
_space_group_name_H-M_alt 'C 1 2/m 1'
_space_group_IT_number 12
_space_group_name_Hall '-C 2y'
_cell_length_a 16.7098
_cell_length_b 3.8083
_cell_length_c 7.7101
_cell_angle_alpha 90.00
_cell_angle_beta 103.89
_cell_angle_gamma 90.00
loop_
_atom_site_label
_atom_site_type_symbol
_atom_site_fract_x
_atom_site_fract_y
_atom_site_fract_z
_atom_site_occupancy
Tb1 Tb 0.1660 0.0000 0.3317 1
Pm1 Pm 0.0000 0.5000 0.0000 1
Sc1 Sc 0.0000 0.5000 0.5000 1
Sc2 Sc 0.1653 0.0000 0.8338 1
S1 S 0.0039 0.0000 0.7329 1
S2 S 0.1630 0.5000 0.5931 1
S3 S 0.1735 0.5000 0.0747 1

***

# PBE AlPtBr2, optimized geometry
# E above lowest polymorph, kJ/mol of formula units: 278
# Formation energy without anion corrections, eV/f.u.: 0.95
# Raw total energy, eV per atom: -3.05
data_AlPtBr2
_chemical_formula_sum 'Al4 Pt4 Br8'
_space_group_name_H-M_alt 'I -4 2 d'
_space_group_IT_number 122
_space_group_name_Hall 'I -4 2bw'
_cell_length_a 4.7882
_cell_length_b 4.7882
_cell_length_c 16.4452
_cell_angle_alpha 90.00
_cell_angle_beta 90.00
_cell_angle_gamma 90.00
loop_
_atom_site_label
_atom_site_type_symbol
_atom_site_fract_x
_atom_site_fract_y
_atom_site_fract_z
_atom_site_occupancy
Al1 Al 0.0000 0.0000 0.0000 1
Pt1 Pt 0.0000 0.0000 0.5000 1
Br1 Br 0.2493 0.2500 0.1250 1

***

# PBE Zr2InCo, optimized geometry
# Raw total energy, eV per atom: -6.78
data_Zr2InCo
_chemical_formula_sum 'Zr4 In2 Co2'
_space_group_name_H-M_alt 'I -4 m 2'
_space_group_IT_number 119
_space_group_name_Hall 'I -4 -2'
_cell_length_a 4.0760
_cell_length_b 4.0760
_cell_length_c 9.2870
_cell_angle_alpha 90.00
_cell_angle_beta 90.00
_cell_angle_gamma 90.00
loop_
_atom_site_label
_atom_site_type_symbol
_atom_site_fract_x
_atom_site_fract_y
_atom_site_fract_z
_atom_site_occupancy
Zr1 Zr 0.0000 0.0000 0.0000 1
Zr2 Zr 0.0000 0.5000 0.2500 1
In1 In 0.0000 0.0000 0.5000 1
Co1 Co 0.0000 0.5000 0.7500 1

***

# PBE CaTb2Ir, optimized geometry
# E above lowest polymorph, kJ/mol of formula units: 8
# Raw total energy, eV per atom: -5.43
data_CaTb2Ir
_chemical_formula_sum 'Ca1 Tb2 Ir1'
_space_group_name_H-M_alt 'P 4/m m m'
_space_group_IT_number 123
_space_group_name_Hall '-P 4 2'
_cell_length_a 3.5199
_cell_length_b 3.5199
_cell_length_c 9.4776
_cell_angle_alpha 90.00
_cell_angle_beta 90.00
_cell_angle_gamma 90.00
loop_
_atom_site_label
_atom_site_type_symbol
_atom_site_fract_x
_atom_site_fract_y
_atom_site_fract_z
_atom_site_occupancy
Ca1 Ca 0.0000 0.0000 0.0000 1
Tb1 Tb 0.5000 0.5000 0.3302 1
Ir1 Ir 0.0000 0.0000 0.5000 1

***

# PBE USiC2, optimized geometry
# Formation energy without anion corrections, eV/f.u.: 1.97
# Raw total energy, eV per atom: -8.30
data_USiC2
_chemical_formula_sum 'U3 Si3 C6'
_space_group_name_H-M_alt 'R -3 m'
_space_group_IT_number 166
_space_group_name_Hall '-R 3 2"'
_cell_length_a 3.7145
_cell_length_b 3.7145
_cell_length_c 16.1878
_cell_angle_alpha 90.00
_cell_angle_beta 90.00
_cell_angle_gamma 120.00
loop_
_atom_site_label
_atom_site_type_symbol
_atom_site_fract_x
_atom_site_fract_y
_atom_site_fract_z
_atom_site_occupancy
U1 U 0.0000 0.0000 0.0000 1
Si1 Si 0.0000 0.0000 0.5000 1
C1 C 0.0000 0.0000 0.3901 1

***

# PBE K3Pt, optimized geometry
# Raw total energy, eV per atom: -2.19
data_K3Pt
_chemical_formula_sum 'K3 Pt1'
_space_group_name_H-M_alt 'P 4/m m m'
_space_group_IT_number 123
_space_group_name_Hall '-P 4 2'
_cell_length_a 4.1094
_cell_length_b 4.1094
_cell_length_c 10.4778
_cell_angle_alpha 90.00
_cell_angle_beta 90.00
_cell_angle_gamma 90.00
loop_
_atom_site_label
_atom_site_type_symbol
_atom_site_fract_x
_atom_site_fract_y
_atom_site_fract_z
_atom_site_occupancy
K1 K 0.0000 0.0000 0.0000 1
K2 K 0.5000 0.5000 0.3461 1
Pt1 Pt 0.0000 0.0000 0.5000 1